Material: Li4Cr3Sn3Te2O16
Method: DFT, GGA+U
State: optimized geometry

VASP energy: -174.228 eV per formula unit
Symmetry: Cm

Lattice parameters (Å, degrees): 6.288 6.288 10.158 88.56 88.56 59.45
Each line ends with the local moment (μB).
Atoms (fractional coordinates):
Li1 0.674 0.674 0.106  0.00
Li2 0.999 0.999 0.011  0.00
Li3 0.992 0.992 0.505  0.00
Li4 0.332 0.332 0.588  0.00
Cr1 0.833 0.833 0.791  3.76
Cr2 0.664 0.165 0.288  3.01
Cr3 0.165 0.664 0.288  3.01
Sn1 0.833 0.337 0.783  0.01
Sn2 0.337 0.833 0.783  0.01
Sn3 0.166 0.166 0.287  0.03
Te1 0.674 0.674 0.507  0.02
Te2 0.350 0.350 0.020  0.03
O1 0.837 0.301 0.396  -0.01
O2 0.511 0.511 0.668  0.01
O3 0.667 0.667 0.891  -0.01
O4 0.996 0.996 0.687  -0.01
O5 0.996 0.996 0.192  -0.04
O6 0.301 0.837 0.396  -0.01
O7 0.959 0.511 0.646  -0.01
O8 0.511 0.959 0.646  -0.01
O9 0.154 0.154 0.890  0.01
O10 0.844 0.844 0.402  -0.03
O11 0.495 0.033 0.171  -0.02
O12 0.033 0.495 0.171  -0.02
O13 0.334 0.334 0.388  -0.04
O14 0.686 0.178 0.915  0.00
O15 0.479 0.479 0.162  -0.04
O16 0.178 0.686 0.915  0.00